(1)
VASP calculation (PBE-GGA) on an optimized crystal structure of Ni3HgN.

final energy: -49.7 eV/cell
spin magnetization: 0.00 μB/f.u.
DOS at the Fermi energy: 2.775 states/eV per cell
formation energy (no corrections): 0.220 eV per atom

a b c (Å): 7.1737 7.1737 7.1737
angles (deg): 39.12 39.12 39.12
Element x y z (fractional)
Hg: 0.6619 0.6619 0.6619
Ni: 0.5443 0.8960 0.2171
N: 0.1623 0.1623 0.1623
Ni: 0.7829 0.4557 0.1040
Ni: 0.8960 0.2171 0.5443
Ni: 0.1040 0.7829 0.4557
Ni: 0.4557 0.1040 0.7829
Ni: 0.2171 0.5443 0.8960
N: 0.8377 0.8377 0.8377
Hg: 0.3381 0.3381 0.3381

(2)
VASP calculation (PBE-GGA) on an optimized crystal structure of Ni3HgN.

final energy: -47.9 eV/cell
spin magnetization: 0.00 μB/f.u.
DOS at the Fermi energy: 5.886 states/eV per cell
formation energy (no corrections): 0.409 eV per atom

a b c (Å): 5.0716 5.0716 6.3290
angles (deg): 66.38 66.38 90.00
Element x y z (fractional)
Hg: 0.6141 0.1141 0.7718
N: 0.2500 0.7500 0.5000
Ni: 0.6194 0.8805 0.2389
N: 0.0000 0.0000 0.0000
Hg: 0.8859 0.3859 0.2282
Ni: 0.6660 0.6660 0.6680
Ni: 0.1195 0.8583 0.7611
Ni: 0.1195 0.3806 0.7611
Ni: 0.1417 0.8805 0.2389
Ni: 0.3340 0.3340 0.3320

(3)
VASP calculation (PBE-GGA) on an optimized crystal structure of Ni3HgN.

final energy: -49.4 eV/cell
spin magnetization: 0.00 μB/f.u.
DOS at the Fermi energy: 5.127 states/eV per cell
formation energy (no corrections): 0.254 eV per atom

a b c (Å): 20.1898 7.7646 7.7646
angles (deg): 153.18 160.21 19.79
Element x y z (fractional)
Ni: 0.8752 0.0873 0.9127
Hg: 0.7268 0.9077 0.0923
Ni: 0.1248 0.9127 0.0873
N: 0.1682 0.9740 0.0260
Ni: 0.4234 0.7238 0.2762
N: 0.8318 0.0260 0.9740
Ni: 0.0837 0.5975 0.4025
Ni: 0.5766 0.2762 0.7238
Ni: 0.9163 0.4025 0.5975
Hg: 0.2732 0.0923 0.9077

(4)
VASP calculation (PBE-GGA) on an optimized crystal structure of Ni3HgN.

final energy: -48.7 eV/cell
spin magnetization: 0.00 μB/f.u.
DOS at the Fermi energy: 6.816 states/eV per cell
formation energy (no corrections): 0.328 eV per atom

a b c (Å): 6.7753 6.7753 4.6255
angles (deg): 90.00 90.00 138.39
Element x y z (fractional)
Hg: 0.5979 0.4021 0.7500
Ni: 0.0469 0.4634 0.7500
Hg: 0.4021 0.5979 0.2500
Ni: 0.0000 0.0000 0.5000
Ni: 0.4634 0.0469 0.2500
Ni: 0.5366 0.9531 0.7500
Ni: 0.0000 0.0000 0.0000
Ni: 0.9531 0.5366 0.2500
N: 0.1086 0.8914 0.2500
N: 0.8914 0.1086 0.7500

(5)
VASP calculation (PBE-GGA) on an optimized crystal structure of Ni3HgN.

final energy: -45.3 eV/cell
spin magnetization: 0.42 μB/f.u.
DOS at the Fermi energy: 7.525 states/eV per cell
formation energy (no corrections): 0.660 eV per atom

a b c (Å): 7.0222 7.0222 4.7324
angles (deg): 90.00 90.00 138.95
Last column: magnetic moment on the atom in μB.
Element x y z (fractional)
Ni: 0.8904 0.6154 0.7500  0.00
N: 0.5496 0.4504 0.7500  0.01
Ni: 0.6154 0.8904 0.2500  -0.01
Ni: 0.0000 0.0000 0.0000  0.44
Ni: 0.0000 0.0000 0.5000  0.44
Hg: 0.1843 0.8157 0.2500  -0.01
N: 0.4504 0.5496 0.2500  0.01
Ni: 0.1096 0.3846 0.2500  0.00
Ni: 0.3846 0.1096 0.7500  -0.01
Hg: 0.8157 0.1843 0.7500  -0.01

(6)
VASP calculation (PBE-GGA) on an optimized crystal structure of NiHg2PbN.

final energy: -16.3 eV/cell
spin magnetization: 0.00 μB/f.u.
DOS at the Fermi energy: 2.587 states/eV per cell
formation energy (no corrections): 0.428 eV per atom

a b c (Å): 5.6178 3.4279 5.6178
angles (deg): 90.00 90.00 90.00
Element x y z (fractional)
Hg: 0.5000 0.0000 0.0000
Ni: 0.0000 0.5000 0.0000
N: 0.0000 0.0000 0.0000
Pb: 0.5000 0.5000 0.5000
Hg: 0.0000 0.0000 0.5000